[1]
Density functional theory data (GGA-PBE) for a relaxed CoBi2Te crystal.

The structure in POSCAR format:
```
CoBi2Te
1.0
-3.131 5.168 -2.229
-5.264 -1.788 3.251
-2.230 5.055 5.548
Co Te Bi
2 2 4
direct
0.500 0.500 0.000
0.250 0.750 0.500
0.000 0.000 0.000
0.750 0.250 0.500
0.536 0.125 0.250
0.875 0.786 0.750
0.375 0.464 0.750
0.214 0.625 0.250
```

Results
Electronic total energy = -0.1539 Ha/atom
SG = I-42d (122)
ΔE_f (raw) = 0.314 eV per atom

***

[2]
Density functional theory data (GGA-PBE) for a relaxed CoBiTe2 crystal.

The structure in POSCAR format:
```
CoBiTe2
1.0
3.670 -0.006 0.000
-1.851 6.578 0.000
0.000 0.000 8.060
Co Te Bi
2 4 2
direct
0.255 0.514 0.250
0.745 0.486 0.750
0.349 0.696 0.557
0.349 0.696 0.943
0.651 0.304 0.443
0.651 0.304 0.057
0.076 0.158 0.750
0.924 0.842 0.250
```

Results
Electronic total energy = -0.1537 Ha/atom
SG = P2_1/m (11)
ΔE_f (raw) = 0.136 eV per atom

***

[3]
Density functional theory data (GGA-PBE) for a relaxed CoBiTe2 crystal.

The structure in POSCAR format:
```
CoBiTe2
1.0
-8.591 0.796 3.453
-8.366 -2.888 2.834
-6.965 -1.431 5.983
Bi Te Co
1 2 1
direct
0.000 0.000 0.000
0.117 0.117 0.117
0.883 0.883 0.883
0.500 0.500 0.500
```

Results
Electronic total energy = -0.1618 Ha/atom
SG = R-3m (166)
ΔE_f (raw) = -0.084 eV per atom

***

[4]
Density functional theory data (GGA-PBE) for a relaxed Co2BiTe2 crystal.

The structure in POSCAR format:
```
Co2BiTe2
1.0
3.639 0.000 0.000
0.000 3.639 0.000
1.819 1.819 8.989
Bi Te Co
1 2 2
direct
0.000 0.000 0.000
0.344 0.344 0.312
0.656 0.656 0.688
0.750 0.250 0.500
0.250 0.750 0.500
```

Results
Electronic total energy = -0.1775 Ha/atom
SG = I4/mmm (139)
ΔE_f (raw) = 0.046 eV per atom